No. 1
Th4Te3Au: optimized geometry, GGA-PBE. Values from VASP.

The structure in Quantum ESPRESSO input format:
```
&SYSTEM
  ibrav = 0, nat = 16, ntyp = 3
/
ATOMIC_SPECIES
Th 232.04 Th.upf
Te 127.60 Te.upf
Au 196.97 Au.upf
CELL_PARAMETERS angstrom
-2.4627 1.9660 7.0347
-5.9656 -2.6659 -4.1367
1.6750 -8.2246 2.8850
ATOMIC_POSITIONS crystal
Th 0.9986 0.7698 0.8870
Th 0.4986 0.7698 0.1130
Th 0.0014 0.2302 0.1130
Th 0.5014 0.2302 0.8870
Th 0.9887 0.2369 0.6324
Th 0.0113 0.7631 0.3676
Th 0.4887 0.2369 0.3676
Th 0.5113 0.7631 0.6324
Te 0.2500 0.5000 0.3754
Te 0.2500 0.5000 0.8705
Te 0.7500 0.5000 0.1295
Te 0.2500 0.0000 0.6288
Te 0.7500 0.0000 0.3712
Te 0.7500 0.5000 0.6246
Au 0.2500 0.0000 0.1277
Au 0.7500 0.0000 0.8723
```

Its raw total energy is -6.227 eV/atom. For the excess energy over the best structure of this formula in the dataset, the calculation gives 6 meV per atom. For the formation energy (no corrections), the calculation gives -0.93 eV/atom. The size of the total moment is 0.0 μB per formula unit. For the density of states at the Fermi level, the calculation gives 13.8 states/eV per cell. Its crystal system is monoclinic. Its symmetry is No. 13.

No. 2
ZrNbReNi: optimized geometry, GGA-PBE. Values from VASP.

The structure in Quantum ESPRESSO input format:
```
&SYSTEM
  ibrav = 0, nat = 4, ntyp = 4
/
ATOMIC_SPECIES
Zr 91.22 Zr.upf
Ni 58.69 Ni.upf
Re 186.21 Re.upf
Nb 92.91 Nb.upf
CELL_PARAMETERS angstrom
4.5456 0.0000 0.0000
2.2728 3.9366 0.0000
2.2728 1.3122 3.7114
ATOMIC_POSITIONS crystal
Zr 0.0000 0.0000 0.0000
Ni 0.2500 0.2500 0.2500
Re 0.7500 0.7500 0.7500
Nb 0.5000 0.5000 0.5000
```

Its raw total energy is -9.420 eV/atom. The size of the total moment is 0.0 μB per formula unit. As for the formation energy: -208 meV/atom. For the density of states at the Fermi level, the calculation gives 3.2 states/eV per cell. Its crystal system is cubic. Its symmetry is No. 216.

No. 3
SmTm5Hg2: optimized geometry, GGA-PBE. Values from VASP.

The structure in Quantum ESPRESSO input format:
```
&SYSTEM
  ibrav = 0, nat = 8, ntyp = 3
/
ATOMIC_SPECIES
Tm 168.93 Tm.upf
Sm 150.36 Sm.upf
Hg 200.59 Hg.upf
CELL_PARAMETERS angstrom
3.6993 0.0000 0.0000
1.8497 7.9240 -0.4013
1.8497 2.0013 7.6776
ATOMIC_POSITIONS crystal
Tm 0.0000 0.5000 0.5000
Tm 0.6361 0.5891 0.1386
Tm 0.3639 0.4109 0.8614
Tm 0.6361 0.1386 0.5891
Tm 0.3639 0.8614 0.4109
Sm 0.0000 0.0000 0.0000
Hg 0.2590 0.2410 0.2410
Hg 0.7410 0.7590 0.7590
```

Its raw total energy is -3.628 eV/atom. The size of the total moment is 0.0 μB per formula unit. As for the formation energy: -168 meV/atom. For the density of states at the Fermi level, the calculation gives 8.4 states/eV per cell. Its crystal system is orthorhombic. Its symmetry is No. 71.

No. 4
Sm4DyEr4: optimized geometry, GGA-PBE. Values from VASP.

The structure in Quantum ESPRESSO input format:
```
&SYSTEM
  ibrav = 0, nat = 9, ntyp = 3
/
ATOMIC_SPECIES
Dy 162.50 Dy.upf
Sm 150.36 Sm.upf
Er 167.26 Er.upf
CELL_PARAMETERS angstrom
-3.7755 -2.1021 -3.5017
-5.2022 -5.5386 4.5169
-8.0085 0.6082 3.8528
ATOMIC_POSITIONS crystal
Dy 0.5000 0.0000 0.0000
Sm 0.7196 0.8478 0.7131
Sm 0.1335 0.6940 0.0390
Sm 0.8665 0.3060 0.9610
Sm 0.2804 0.1522 0.2869
Er 0.6258 0.4270 0.3214
Er 0.0721 0.2328 0.6229
Er 0.3742 0.5730 0.6786
Er 0.9279 0.7672 0.3771
```

Its raw total energy is -4.529 eV/atom. For the excess energy over the best structure of this formula in the dataset, the calculation gives 87 meV per atom. The size of the total moment is 0.0 μB per formula unit. As for the formation energy: 107 meV/atom. For the density of states at the Fermi level, the calculation gives 15.2 states/eV per cell. Its crystal system is monoclinic. Its symmetry is No. 12.

No. 5
Tb3Dy4In: optimized geometry, GGA-PBE. Values from VASP.

The structure in Quantum ESPRESSO input format:
```
&SYSTEM
  ibrav = 0, nat = 16, ntyp = 3
/
ATOMIC_SPECIES
Tb 158.93 Tb.upf
In 114.82 In.upf
Dy 162.50 Dy.upf
CELL_PARAMETERS angstrom
-0.8709 0.8696 -6.0503
-6.8098 -1.6373 0.7449
-2.3753 10.7371 1.8851
ATOMIC_POSITIONS crystal
Tb 0.4708 0.3844 0.2577
Tb 0.9708 0.6156 0.7577
Tb 0.9708 0.6156 0.2423
Tb 0.4708 0.3844 0.7423
Tb 0.6345 0.6292 0.0000
Tb 0.1345 0.3708 0.5000
In 0.1504 0.3745 0.0000
In 0.6504 0.6255 0.5000
Dy 0.1390 0.8687 0.5000
Dy 0.9916 0.1262 0.2383
Dy 0.6664 0.1270 0.5000
Dy 0.4916 0.8738 0.2617
Dy 0.1664 0.8730 0.0000
Dy 0.4916 0.8738 0.7383
Dy 0.6390 0.1313 0.0000
Dy 0.9916 0.1262 0.7617
```

Its raw total energy is -4.489 eV/atom. The size of the total moment is 0.0 μB per formula unit. As for the formation energy: -110 meV/atom. For the density of states at the Fermi level, the calculation gives 19.4 states/eV per cell. Its crystal system is orthorhombic. Its symmetry is No. 31.

No. 6
Tb2HoIn: optimized geometry, GGA-PBE. Values from VASP.

The structure in Quantum ESPRESSO input format:
```
&SYSTEM
  ibrav = 0, nat = 4, ntyp = 3
/
ATOMIC_SPECIES
Tb 158.93 Tb.upf
Ho 164.93 Ho.upf
In 114.82 In.upf
CELL_PARAMETERS angstrom
-1.3019 -1.8773 -2.6302
2.0589 -0.9598 -2.6414
3.0072 -10.9654 4.0308
ATOMIC_POSITIONS crystal
Tb 0.0952 0.0952 0.7143
Tb 0.9048 0.9048 0.2857
Ho 0.0000 0.0000 0.0000
In 0.5000 0.5000 0.5000
```

Its raw total energy is -4.063 eV/atom. For the excess energy over the best structure of this formula in the dataset, the calculation gives 349 meV per atom. The size of the total moment is 0.8 μB per formula unit. As for the formation energy: 82 meV/atom. For the density of states at the Fermi level, the calculation gives 5.5 states/eV per cell. Its crystal system is trigonal. Its symmetry is No. 166.